[1]
Entry from the Alexandria database: a geometry-optimized Sr2ZrSbPt structure (PBE).

Properties
The electronic total energy comes out at -4.729 eV per atom. As for the spin magnetization: 0.65 μB per formula unit. The uncorrected formation energy is -0.314 eV per atom.

Structure (extended XYZ):
```
5
Lattice="-3.229 -3.818 -2.857 2.656 -3.842 2.132 -3.723 -0.137 4.391" Properties=species:S:1:pos:R:3 pbc="T T T"
Sb -2.148 -3.898 1.833
Zr 1.328 -1.921 1.066
Pt 0.000 0.000 0.000
Sr -1.862 -0.068 2.196
Sr -1.615 -1.909 -1.428
```

=====

[2]
Entry from the Alexandria database: a geometry-optimized TaSbPt2 structure (PBE).

Properties
The electronic total energy comes out at -7.143 eV per atom. As for the spin magnetization: 0.00 μB per formula unit. The uncorrected formation energy is -0.128 eV per atom.

Structure (extended XYZ):
```
4
Lattice="-0.523 -4.050 -2.957 4.024 -2.113 2.182 -1.716 -1.223 1.979" Properties=species:S:1:pos:R:3 pbc="T T T"
Pt 0.000 0.000 0.000
Pt 1.751 -3.082 -0.387
Sb -1.119 -2.637 -0.489
Ta 1.154 -1.668 2.081
```

=====

[3]
Entry from the Alexandria database: a geometry-optimized Ta2SbPt structure (PBE).

Properties
The electronic total energy comes out at -8.409 eV per atom. As for the spin magnetization: 0.00 μB per formula unit. The uncorrected formation energy is 0.058 eV per atom.

Structure (extended XYZ):
```
4
Lattice="-0.190 5.723 7.616 -2.009 3.529 8.620 0.987 3.254 8.901" Properties=species:S:1:pos:R:3 pbc="T T T"
Pt -0.303 3.127 6.284
Sb -0.909 9.380 18.853
Ta -1.207 12.462 25.048
Ta -0.610 6.298 12.658
```

=====

[4]
Entry from the Alexandria database: a geometry-optimized Ta2SbPt structure (PBE).

Properties
The electronic total energy comes out at -8.543 eV per atom. As for the spin magnetization: 0.00 μB per formula unit. The uncorrected formation energy is -0.076 eV per atom.

Structure (extended XYZ):
```
4
Lattice="3.070 0.000 0.000 0.000 3.070 0.000 0.000 0.000 7.761" Properties=species:S:1:pos:R:3 pbc="T T T"
Pt 1.535 1.535 1.940
Sb 1.535 1.535 5.821
Ta 0.000 0.000 0.113
Ta 0.000 0.000 3.768
```